Compound: CdCu2Os
Source: Alexandria
Functional: GGA-PBE
Structure: optimized geometry

Results
final energy = -4.710 eV per atom
ΔH_f (0 K) = 36 kJ per mole of atoms
magnetic moment = 0.00 Bohr magnetons per cell

a = 2.690 Å, b = 2.690 Å, c = 9.071 Å
α = 90.00°, β = 90.00°, γ = 115.30°
Fractional coordinates of all 4 atoms:
Cd  0.500  0.500  0.750
Cu  0.000  0.000  0.012
Cu  0.000  0.000  0.488
Os  0.500  0.500  0.250